1.
This record from the Alexandria database describes an optimized crystal structure of TbNp2S3. The functional is PBE.

Lattice parameters (Å, degrees): 7.8421 5.5287 11.7389 90.00 90.00 90.00
Space group Pnma (No. 62)
Asymmetric unit:
Tb: 0.1261 0.2500 0.0820
Np: 0.1240 0.2500 0.4164
Np: 0.1250 0.2500 0.7512
S: 0.1222 0.7500 0.4148
S: 0.1245 0.7500 0.7509
S: 0.1269 0.7500 0.0838

- Fermi-level density of states: 14.4 states/eV/f.u.
- Raw formation energy: -1588 meV/atom

2.
This record from the Alexandria database describes an optimized crystal structure of TbNp6S8. The functional is PBE.

Lattice parameters (Å, degrees): 11.0548 11.0548 11.0548 90.00 90.00 90.00
Space group Fm-3m (No. 225)
Asymmetric unit:
Tb: 0.0000 0.0000 0.0000
Np: 0.0000 0.2500 0.2500
S: 0.0000 0.0000 0.2509
S: 0.2500 0.2500 0.2500

- Fermi-level density of states: 42.6 states/eV/f.u.
- Raw formation energy: -1479 meV/atom